An optimized crystal structure of Tl2GeOF, computed with PBE-GGA.

abc: 4.5964 4.5964 5.3426
angles: 90.00 90.00 90.00
Space group P4/mmm (No. 123)
Inequivalent atoms, fractional coordinates:
Tl 0.0000 0.5000 0.0000 (multiplicity 2)
Ge 0.0000 0.0000 0.5000 (multiplicity 1)
O 0.5000 0.5000 0.0000 (multiplicity 1)
F 0.5000 0.5000 0.5000 (multiplicity 1)

Output
raw total energy = -3.2634 eV per atom
ΔE_f (raw) = -28 meV per atom